SnTeN2Cl: optimized geometry, PBE-GGA.

abc: 4.172 4.172 6.327
angles: 90.00 90.00 90.00
Element x y z (fractional)
Sn: 0.000 0.000 0.000
Te: 0.000 0.000 0.500
N: 0.000 0.500 0.000
N: 0.500 0.000 0.000
Cl: 0.500 0.500 0.500

Computed properties:
Polymorph energy (0 for the lowest one) in eV per formula unit: 0.00
Size of the total moment in μB per atom: 0.517
Mass density in g/cm³: 4.67
DOS at the Fermi energy in states/eV per atom: 0.766
Raw formation energy in kJ/mol of formula units: 600
Space-group type: P4/mmm, No. 123